Entry 1:
Below is a relaxed Li2LaTmTe4 crystal, with properties calculated at the PBE-GGA level.

abc: 4.4291 7.6798 7.5028
angles: 109.81 90.00 90.00
Atoms (fractional coordinates):
Te (0.0000, 0.2611, 0.7454)
Te (0.5000, 0.7335, 0.7387)
Li (0.5000, 0.0000, 0.5000)
Te (0.5000, 0.2665, 0.2613)
Te (0.0000, 0.7389, 0.2546)
La (0.0000, 0.0000, 0.0000)
Li (0.0000, 0.5000, 0.5000)
Tm (0.5000, 0.5000, 0.0000)

## Properties
- final energy (eV per cell) = -36.28

Entry 2:
Below is a relaxed LiLa4Tm3Te8 crystal, with properties calculated at the PBE-GGA level.

abc: 8.8236 8.9283 8.8236
angles: 119.61 120.00 90.00
Atoms (fractional coordinates):
Te (0.7604, 0.2746, 0.0141)
Te (0.7463, 0.7254, 0.9859)
La (0.5000, 0.0000, 0.5000)
La (0.5000, 0.0000, 0.0000)
Tm (0.0000, 0.5000, 0.5000)
La (0.0000, 0.0000, 0.0000)
Tm (0.5000, 0.5000, 0.0000)
Te (0.2396, 0.7254, 0.9859)
Te (0.7604, 0.2745, 0.5208)
Li (0.0000, 0.5000, 0.0000)
Tm (0.5000, 0.5000, 0.5000)
Te (0.2569, 0.2708, 0.5139)
Te (0.7431, 0.7292, 0.4861)
Te (0.2537, 0.2746, 0.0141)
La (0.0000, 0.0000, 0.5000)
Te (0.2396, 0.7255, 0.4792)

## Properties
- final energy (eV per cell) = -82.61
- DOS at the Fermi energy (states/eV per cell) = 9.9

Entry 3:
Below is a relaxed Li2LaUTe4 crystal, with properties calculated at the PBE-GGA level.

abc: 4.4440 7.7273 7.5447
angles: 110.01 90.00 90.00
Each line ends with the local moment (μB).
Atoms (fractional coordinates):
La (0.5000, 0.5000, 0.0000)  0.07
Te (0.5000, 0.7542, 0.7398)  -0.04
Te (0.0000, 0.2366, 0.7353)  -0.02
Li (0.0000, 0.5000, 0.5000)  0.00
Te (0.0000, 0.7634, 0.2647)  -0.02
Te (0.5000, 0.2458, 0.2602)  -0.04
Li (0.5000, 0.0000, 0.5000)  0.00
U (0.0000, 0.0000, 0.0000)  2.72

## Properties
- final energy (eV per cell) = -40.96
- DOS at the Fermi energy (states/eV per cell) = 9.2

Entry 4:
Below is a relaxed LiLa4Y3Te8 crystal, with properties calculated at the PBE-GGA level.

abc: 8.9185 8.9396 8.9183
angles: 119.92 120.00 90.00
Atoms (fractional coordinates):
Y (0.5000, 0.5000, 0.5000)
Te (0.2506, 0.2703, 0.0105)
Li (0.0000, 0.5000, 0.0000)
Te (0.2402, 0.7297, 0.4803)
Y (0.0000, 0.5000, 0.5000)
Te (0.2551, 0.2654, 0.5102)
La (0.5000, 0.0000, 0.5000)
La (0.5000, 0.0000, 0.0000)
Te (0.7598, 0.2703, 0.5197)
Te (0.7449, 0.7346, 0.4898)
La (0.0000, 0.0000, 0.5000)
Te (0.7598, 0.2703, 0.0105)
Te (0.7494, 0.7297, 0.9895)
Te (0.2402, 0.7297, 0.9895)
Y (0.5000, 0.5000, 0.0000)
La (0.0000, 0.0000, 0.0000)

## Properties
- final energy (eV per cell) = -89.34
- DOS at the Fermi energy (states/eV per cell) = 10.1

Entry 5:
Below is a relaxed LiLa2Y3Te6 crystal, with properties calculated at the PBE-GGA level.

abc: 4.4151 8.9158 9.9408
angles: 103.54 102.83 90.00
Atoms (fractional coordinates):
Li (0.5000, 0.0000, 0.0000)
Y (0.1702, 0.8301, 0.3403)
La (0.1677, 0.3359, 0.3354)
Te (0.6620, 0.5908, 0.3241)
Y (0.5000, 0.5000, 0.0000)
Te (0.9958, 0.2446, 0.9915)
Te (0.6623, 0.0686, 0.3246)
Te (0.3380, 0.4092, 0.6759)
Y (0.8298, 0.1699, 0.6597)
Te (0.0042, 0.7554, 0.0085)
Te (0.3377, 0.9314, 0.6754)
La (0.8323, 0.6641, 0.6646)

## Properties
- final energy (eV per cell) = -66.98
- DOS at the Fermi energy (states/eV per cell) = 4.8

Entry 6:
Below is a relaxed LiLa2YTe5 crystal, with properties calculated at the PBE-GGA level.

abc: 4.4816 9.7109 13.2990
angles: 90.00 90.00 103.34
Atoms (fractional coordinates):
Y (0.8020, 0.6041, 0.5097)
Te (0.7153, 0.4306, 0.1678)
Te (0.3612, 0.7224, 0.9992)
Te (0.6388, 0.2777, 0.4992)
La (0.1252, 0.2504, 0.3039)
Te (0.6899, 0.3798, 0.8481)
La (0.8932, 0.7865, 0.1851)
Li (0.4419, 0.8838, 0.4618)
La (0.8748, 0.7496, 0.8039)
Te (0.2847, 0.5694, 0.6678)
Te (0.0471, 0.0942, 0.0683)
Te (0.3101, 0.6202, 0.3481)
Te (0.4984, 0.9969, 0.7801)
La (0.1068, 0.2135, 0.6851)
Y (0.1980, 0.3959, 0.0097)
Li (0.5581, 0.1162, 0.9618)
Te (0.9529, 0.9058, 0.5683)
Te (0.5016, 0.0031, 0.2801)

## Properties
- final energy (eV per cell) = -93.70

Entry 7:
Below is a relaxed LiLaY2Te4 crystal, with properties calculated at the PBE-GGA level.

abc: 4.3924 7.6196 7.7204
angles: 109.17 90.00 90.00
Atoms (fractional coordinates):
Te (0.5000, 0.7367, 0.7432)
Y (0.0000, 0.5000, 0.5000)
La (0.0000, 0.0000, 0.0000)
Li (0.5000, 0.5000, 0.0000)
Y (0.5000, 0.0000, 0.5000)
Te (0.5000, 0.2633, 0.2568)
Te (0.0000, 0.7412, 0.2513)
Te (0.0000, 0.2588, 0.7487)

## Properties
- final energy (eV per cell) = -43.41
- DOS at the Fermi energy (states/eV per cell) = 3.1

Entry 8:
Below is a relaxed LiLaYTe2 crystal, with properties calculated at the PBE-GGA level.

abc: 5.3546 4.8184 5.3546
angles: 90.00 90.00 90.00
Each line ends with the local moment (μB).
Atoms (fractional coordinates):
Li (0.0000, 0.0000, 0.0000)  0.14
Te (0.0000, 0.0000, 0.5000)  -0.02
Y (0.0000, 0.5000, 0.0000)  0.47
Te (0.5000, 0.0000, 0.0000)  -0.02
La (0.5000, 0.5000, 0.5000)  0.10

## Properties
- final energy (eV per cell) = -21.96
- DOS at the Fermi energy (states/eV per cell) = 3.6

Entry 9:
Below is a relaxed LiLaYTe3 crystal, with properties calculated at the PBE-GGA level.

abc: 4.3358 9.0447 9.6148
angles: 104.01 90.00 90.00
Atoms (fractional coordinates):
La (0.2500, 0.1891, 0.2329)
Te (0.2500, 0.5648, 0.8232)
Y (0.2500, 0.6682, 0.1563)
Te (0.2500, 0.7697, 0.4947)
La (0.7500, 0.8109, 0.7671)
Te (0.7500, 0.9055, 0.1269)
Y (0.7500, 0.3318, 0.8437)
Te (0.2500, 0.0945, 0.8731)
Te (0.7500, 0.4352, 0.1768)
Li (0.7500, 0.9136, 0.4133)
Te (0.7500, 0.2303, 0.5053)
Li (0.2500, 0.0864, 0.5867)

## Properties
- final energy (eV per cell) = -61.81
- DOS at the Fermi energy (states/eV per cell) = 6.2

Entry 10:
Below is a relaxed Li2LaTh crystal, with properties calculated at the PBE-GGA level.

abc: 3.6113 5.4216 5.4216
angles: 90.00 90.00 90.00
Atoms (fractional coordinates):
Li (0.0000, 0.5000, 0.0000)
Th (0.5000, 0.0000, 0.0000)
Li (0.0000, 0.0000, 0.5000)
La (0.5000, 0.5000, 0.5000)

## Properties
- DOS at the Fermi energy (states/eV per cell) = 5.7
- ΔE_f (eV per formula unit) = 0.94

Entry 11:
Below is a relaxed Li5La12Th3 crystal, with properties calculated at the PBE-GGA level.

abc: 16.0252 16.0252 16.0252
angles: 109.47 109.47 109.47
Atoms (fractional coordinates):
La (0.0744, 0.9087, 0.1297)
La (0.5913, 0.8703, 0.4256)
La (0.0553, 0.4256, 0.8343)
Li (0.2500, 0.3750, 0.6250)
Li (0.2500, 0.8750, 0.1250)
Li (0.8750, 0.2500, 0.6250)
Li (0.3750, 0.1250, 0.7500)
Th (0.6250, 0.2500, 0.3750)
La (0.5744, 0.9447, 0.6657)
La (0.1297, 0.4087, 0.0744)
La (0.6297, 0.5744, 0.9087)
La (0.3343, 0.5553, 0.4256)
La (0.9447, 0.5744, 0.1657)
La (0.3703, 0.4256, 0.0913)
La (0.1297, 0.7210, 0.5553)
La (0.5553, 0.2210, 0.1297)
Li (0.8750, 0.6250, 0.7500)
La (0.4087, 0.2790, 0.3343)
La (0.7210, 0.5913, 0.1657)
La (0.7790, 0.4447, 0.3703)
Li (0.5000, 0.0000, 0.5000)
La (0.6657, 0.2210, 0.5913)
La (0.2210, 0.6657, 0.0913)
Li (0.5000, 0.0000, 0.0000)
Li (0.0000, 0.0000, 0.5000)
Li (0.0000, 0.5000, 0.0000)
La (0.9256, 0.0913, 0.8703)
Li (0.1250, 0.7500, 0.3750)
La (0.1657, 0.0744, 0.9447)
La (0.3343, 0.7790, 0.4087)
Th (0.7500, 0.8750, 0.6250)
La (0.3703, 0.9447, 0.7790)
Li (0.0000, 0.5000, 0.5000)
Li (0.3750, 0.2500, 0.1250)
Li (0.0000, 0.0000, 0.0000)
La (0.4447, 0.7790, 0.8703)
Th (0.6250, 0.3750, 0.7500)
La (0.2790, 0.8703, 0.9447)
La (0.5913, 0.7210, 0.6657)
La (0.9256, 0.8343, 0.5553)
La (0.2210, 0.5553, 0.6297)
Li (0.5000, 0.5000, 0.0000)
Li (0.6250, 0.7500, 0.8750)
Li (0.7500, 0.6250, 0.3750)
La (0.6657, 0.4447, 0.5744)
La (0.0744, 0.1657, 0.4447)
La (0.4256, 0.3703, 0.5913)
La (0.4447, 0.6657, 0.0744)
La (0.4256, 0.0553, 0.3343)
La (0.9087, 0.8343, 0.7790)
La (0.5744, 0.6297, 0.4087)
Li (0.5000, 0.5000, 0.5000)
La (0.0553, 0.6297, 0.7210)
La (0.8703, 0.5913, 0.9256)
La (0.9087, 0.0744, 0.6297)
La (0.9447, 0.3703, 0.2790)
La (0.6297, 0.0553, 0.2210)
Th (0.3750, 0.7500, 0.6250)
Li (0.7500, 0.1250, 0.8750)
La (0.5553, 0.3343, 0.9256)
La (0.8703, 0.2790, 0.4447)
Th (0.8750, 0.1250, 0.2500)
Th (0.3750, 0.6250, 0.2500)
Th (0.1250, 0.2500, 0.8750)
La (0.4087, 0.1297, 0.5744)
Th (0.2500, 0.6250, 0.8750)
Th (0.1250, 0.8750, 0.7500)
Th (0.2500, 0.1250, 0.3750)
La (0.7790, 0.3343, 0.9087)
Li (0.6250, 0.8750, 0.2500)
Li (0.1250, 0.3750, 0.2500)
La (0.7210, 0.1297, 0.0553)
La (0.0913, 0.1657, 0.2210)
La (0.8343, 0.9087, 0.2790)
La (0.2790, 0.4087, 0.8343)
La (0.0913, 0.9256, 0.3703)
La (0.8343, 0.9256, 0.0553)
Th (0.7500, 0.3750, 0.1250)
La (0.1657, 0.0913, 0.7210)
Th (0.8750, 0.7500, 0.1250)

## Properties
- DOS at the Fermi energy (states/eV per cell) = 140.2
- ΔE_f (eV per formula unit) = 13.53

Entry 12:
Below is a relaxed Li4LaTh crystal, with properties calculated at the PBE-GGA level.

abc: 5.9230 5.9230 5.9230
angles: 60.00 60.00 60.00
Each line ends with the local moment (μB).
Atoms (fractional coordinates):
Li (0.6245, 0.1264, 0.6245)  0.01
Li (0.6245, 0.6245, 0.6245)  0.01
Li (0.1264, 0.6245, 0.6245)  0.01
Th (0.2500, 0.2500, 0.2500)  0.34
La (0.0000, 0.0000, 0.0000)  0.17
Li (0.6245, 0.6245, 0.1264)  0.01

## Properties
- DOS at the Fermi energy (states/eV per cell) = 7.8
- ΔE_f (eV per formula unit) = 1.21

Entry 13:
Below is a relaxed LiLa3Th2 crystal, with properties calculated at the PBE-GGA level.

abc: 3.6331 3.6331 14.7324
angles: 90.00 90.00 90.00
Atoms (fractional coordinates):
Li (0.5000, 0.5000, 0.5000)
La (0.0000, 0.0000, 0.0000)
La (0.0000, 0.0000, 0.3421)
Th (0.5000, 0.5000, 0.1758)
Th (0.5000, 0.5000, 0.8242)
La (0.0000, 0.0000, 0.6579)

## Properties
- DOS at the Fermi energy (states/eV per cell) = 9.6
- ΔE_f (eV per formula unit) = 0.27

Entry 14:
Below is a relaxed Li2La2ThTl2 crystal, with properties calculated at the PBE-GGA level.

abc: 4.9179 4.9179 9.5545
angles: 75.09 75.09 60.00
Atoms (fractional coordinates):
La (0.8679, 0.8679, 0.3963)
La (0.1321, 0.1321, 0.6037)
Tl (0.2680, 0.2680, 0.1960)
Li (0.6016, 0.6016, 0.1953)
Tl (0.7320, 0.7320, 0.8040)
Th (0.0000, 0.0000, 0.0000)
Li (0.3984, 0.3984, 0.8047)

## Properties
- DOS at the Fermi energy (states/eV per cell) = 6.1
- ΔE_f (eV per formula unit) = -1.07

Entry 15:
Below is a relaxed Li3LaTi crystal, with properties calculated at the PBE-GGA level.

abc: 5.0106 5.0106 5.0106
angles: 90.00 90.00 90.00
Each line ends with the local moment (μB).
Atoms (fractional coordinates):
Li (0.0000, 0.0000, 0.5000)  0.00
Ti (0.5000, 0.5000, 0.5000)  1.58
Li (0.5000, 0.0000, 0.0000)  0.00
Li (0.0000, 0.5000, 0.0000)  0.00
La (0.0000, 0.0000, 0.0000)  -0.09

## Properties
- E above lowest polymorph (meV/atom) = 617.4
- DOS at the Fermi energy (states/eV per cell) = 4.4
- ΔE_f (eV per formula unit) = 6.82

Entry 16:
Below is a relaxed LiLaTi3 crystal, with properties calculated at the PBE-GGA level.

abc: 4.8673 4.8673 4.8673
angles: 90.00 90.00 90.00
Atoms (fractional coordinates):
Ti (0.5000, 0.0000, 0.0000)
La (0.0000, 0.0000, 0.0000)
Li (0.5000, 0.5000, 0.5000)
Ti (0.0000, 0.0000, 0.5000)
Ti (0.0000, 0.5000, 0.0000)

## Properties
- E above lowest polymorph (meV/atom) = 509.5
- DOS at the Fermi energy (states/eV per cell) = 8.5
- ΔE_f (eV per formula unit) = 6.18

Entry 17:
Below is a relaxed LiLaTi2 crystal, with properties calculated at the PBE-GGA level.

abc: 4.8612 4.8612 4.8612
angles: 60.00 60.00 60.00
Atoms (fractional coordinates):
Ti (0.2500, 0.2500, 0.2500)
Ti (0.7500, 0.7500, 0.7500)
Li (0.0000, 0.0000, 0.0000)
La (0.5000, 0.5000, 0.5000)

## Properties
- DOS at the Fermi energy (states/eV per cell) = 6.2
- ΔE_f (eV per formula unit) = 2.32

Entry 18:
Below is a relaxed Li3LaTi crystal, with properties calculated at the PBE-GGA level.

abc: 5.0873 5.0873 5.0873
angles: 90.00 90.00 90.00
Each line ends with the local moment (μB).
Atoms (fractional coordinates):
Li (0.0000, 0.5000, 0.0000)  0.07
Li (0.0000, 0.0000, 0.5000)  0.06
Ti (0.0000, 0.0000, 0.0000)  2.20
La (0.5000, 0.5000, 0.5000)  0.52
Li (0.5000, 0.0000, 0.0000)  0.07

## Properties
- E above lowest polymorph (meV/atom) = 0.0
- DOS at the Fermi energy (states/eV per cell) = 3.7
- ΔE_f (eV per formula unit) = 3.73

Entry 19:
Below is a relaxed LiLa2Ti crystal, with properties calculated at the PBE-GGA level.

abc: 8.3340 8.3340 6.7141
angles: 51.64 51.64 90.00
Each line ends with the local moment (μB).
Atoms (fractional coordinates):
La (0.6234, 0.1250, 0.2500)  0.23
La (0.3750, 0.3766, 0.7500)  0.23
La (0.1266, 0.6250, 0.2500)  0.22
Ti (0.0000, 0.0000, 0.0000)  1.41
La (0.8750, 0.8734, 0.7500)  0.22
Li (0.2500, 0.7500, 0.5000)  0.01
Li (0.5000, 0.5000, 0.0000)  0.01
Ti (0.7500, 0.2500, 0.5000)  1.41

## Properties
- E above lowest polymorph (meV/atom) = 255.0
- DOS at the Fermi energy (states/eV per cell) = 10.0
- ΔE_f (eV per formula unit) = 2.02

Entry 20:
Below is a relaxed LiLa2Ti crystal, with properties calculated at the PBE-GGA level.

abc: 5.3643 5.3643 5.3643
angles: 60.00 60.00 60.00
Each line ends with the local moment (μB).
Atoms (fractional coordinates):
La (0.7500, 0.7500, 0.7500)  0.07
La (0.2500, 0.2500, 0.2500)  0.07
Li (0.0000, 0.0000, 0.0000)  -0.03
Ti (0.5000, 0.5000, 0.5000)  1.07

## Properties
- E above lowest polymorph (meV/atom) = 0.0
- DOS at the Fermi energy (states/eV per cell) = 6.3
- ΔE_f (eV per formula unit) = 1.00

no.,volume (Å³ per cell),total moment (μB/f.u.)
1,240.10,0.0
2,494.39,0.0
3,243.44,3.0
4,503.37,0.0
5,370.38,0.0
6,563.16,0.0
7,244.07,0.0
8,138.15,1.1
9,365.84,0.0
10,106.15,0.0
11,3168.04,0.0
12,146.93,1.3
13,194.46,0.0
14,191.09,0.0
15,125.80,2.0
16,115.31,0.0
17,81.23,0.1
18,131.66,5.9
19,223.46,2.6
20,109.15,1.5